Entry 1:
PrErZnIr2 | PBE | optimized geometry

## Properties
final energy: -6.3684 eV/atom
energy relative to the elements: -706 meV per atom

abc: 4.198 5.859 8.498
angles: 90.00 90.00 90.00
Space group Imm2 (No. 44)
Unique sites:
Pr 0.000 0.000 0.000 x2
Er 0.000 0.000 0.404 x2
Zn 0.000 0.500 0.198 x2
Ir 0.000 0.268 0.703 x4

=====

Entry 2:
LiHgAs | PBE | optimized geometry

## Properties
final energy: -2.4460 eV/atom

abc: 4.388 4.388 6.552
angles: 90.00 90.00 90.00
Space group P4/nmm (No. 129, origin choice 2)
Unique sites:
Li 0.250 0.250 0.178 x2
Hg 0.250 0.750 0.500 x2
As 0.250 0.250 0.779 x2

=====

Entry 3:
KAuNO | PBE | optimized geometry

## Properties
final energy: -4.0828 eV/atom
offset from the most stable computed form: 21 meV/atom

abc: 3.745 6.176 6.276
angles: 90.00 90.00 90.00
Space group Pmc2_1 (No. 26)
Unique sites:
K 0.000 0.177 0.000 x2
Au 0.500 0.300 0.502 x2
N 0.000 0.339 0.535 x2
O 0.500 0.058 0.282 x2

=====

Entry 4:
AcNbAs | PBE | optimized geometry

## Properties
final energy: -5.3885 eV/atom
offset from the most stable computed form: 570 meV/atom

abc: 7.372 7.372 7.372
angles: 90.00 90.00 90.00
Space group F-43m (No. 216)
Unique sites:
Ac 0.000 0.000 0.000 x4
Nb 0.250 0.250 0.250 x4
As 0.250 0.250 0.750 x4